#P
The following is a DFT calculation (GGA-PBE) of crystalline YTaAl2 at its relaxed geometry.

Cell lengths 5.124, 5.124, 5.124 Å; angles 129.67, 129.65, 73.95 degrees
Positions (direct):
Al  0.500  0.500  0.000
Al  0.000  0.000  0.000
Ta  0.750  0.250  0.500
Y  0.250  0.750  0.500

- space group = I4/mmm, No. 139
- ρ (g/cm³) = 6.915
- crystal system = tetragonal



#Q
The following is a DFT calculation (GGA-PBE) of crystalline YTaAl2 at its relaxed geometry.

Cell lengths 4.449, 4.449, 10.079 Å; angles 77.25, 77.25, 90.00 degrees
Positions (direct):
Ta  0.750  0.250  0.500
Ta  0.000  0.000  0.000
Y  0.250  0.750  0.500
Y  0.500  0.500  0.000
Al  0.875  0.971  0.750
Al  0.029  0.625  0.250
Al  0.721  0.125  0.250
Al  0.375  0.279  0.750

- space group = I-42d, No. 122
- ρ (g/cm³) = 5.674
- crystal system = tetragonal



#R
The following is a DFT calculation (GGA-PBE) of crystalline YTaAl2 at its relaxed geometry.

Cell lengths 3.013, 4.065, 6.422 Å; angles 90.00, 90.00, 90.00 degrees
Each line ends with the local moment (μB).
Positions (direct):
Ta  0.500  0.500  0.250  0.00
Al  0.000  0.000  0.458  0.00
Al  0.000  0.000  0.042  0.00
Y  0.500  0.500  0.750  0.17

- space group = Pmmm, No. 47
- ρ (g/cm³) = 6.837
- crystal system = orthorhombic



#S
The following is a DFT calculation (GGA-PBE) of crystalline YTaAl2 at its relaxed geometry.

Cell lengths 3.013, 3.013, 8.563 Å; angles 90.00, 90.00, 90.00 degrees
Positions (direct):
Al  0.000  0.000  0.476
Al  0.000  0.000  0.024
Ta  0.500  0.500  0.250
Y  0.500  0.500  0.750

- space group = P4/mmm, No. 123
- ρ (g/cm³) = 6.917
- crystal system = tetragonal



Quick ranking, most stable first: #R, #S, #P, #Q.